[1]
Below is a relaxed structure of Li5ErMg5, with properties calculated at the PBE level.

Results
Calculated formation energy ... 0.0387 eV per atom
DOS(E_F) ... 5.29 states/eV/cell
Crystal system ... hexagonal

Cell lengths 5.3089, 5.3089, 9.7311 Å; angles 90.00, 90.00, 120.00 degrees
Space group P-6m2 (No. 187)
Inequivalent atoms, fractional coordinates:
Li1 0.0000 0.0000 0.2346 (multiplicity 2)
Li2 0.3419 0.1710 0.0000 (multiplicity 3)
Er1 0.3333 0.6667 0.5000 (multiplicity 1)
Mg1 0.0000 0.0000 0.5000 (multiplicity 1)
Mg2 0.3333 0.6667 0.1659 (multiplicity 2)
Mg3 0.6667 0.3333 0.3265 (multiplicity 2)



[2]
Below is a relaxed structure of Al4FeCo5, with properties calculated at the PBE level.

Results
Calculated formation energy ... -0.4875 eV per atom
DOS(E_F) ... 4.02 states/eV/cell
Crystal system ... tetragonal

Cell lengths 2.8522, 2.8522, 14.2767 Å; angles 90.00, 90.00, 90.00 degrees
Space group P4/mmm (No. 123)
Inequivalent atoms, fractional coordinates:
Al1 0.0000 0.0000 0.1003 (multiplicity 2)
Al2 0.0000 0.0000 0.3010 (multiplicity 2)
Fe1 0.0000 0.0000 0.5000 (multiplicity 1)
Co1 0.5000 0.5000 0.0000 (multiplicity 1)
Co2 0.5000 0.5000 0.2002 (multiplicity 2)
Co3 0.5000 0.5000 0.4035 (multiplicity 2)



[3]
Below is a relaxed structure of K2ScNi, with properties calculated at the PBE level.

Results
Calculated formation energy ... 0.3236 eV per atom
Distance to the lowest polymorph of the same formula ... 354 meV per atom
DOS(E_F) ... 9.15 states/eV/cell
Crystal system ... monoclinic

Cell lengths 8.5388, 3.6724, 10.1871 Å; angles 90.00, 103.05, 90.00 degrees
Space group Cm (No. 8)
Inequivalent atoms, fractional coordinates:
K1 0.0000 0.0000 0.0000 (multiplicity 2)
K2 0.1551 0.0000 0.5825 (multiplicity 2)
Sc1 0.3047 0.5000 0.2911 (multiplicity 2)
Ni1 0.4986 0.0000 0.2911 (multiplicity 2)



[4]
Below is a relaxed structure of Zr3HgN, with properties calculated at the PBE level.

Results
Energy ... -7.653 eV per atom
DOS(E_F) ... 4.50 states/eV/cell
Crystal system ... hexagonal

Cell lengths 6.3376, 6.3376, 5.3143 Å; angles 90.00, 90.00, 120.00 degrees
Space group P6_3/mmc (No. 194)
Inequivalent atoms, fractional coordinates:
Zr1 0.1652 0.3304 0.2500 (multiplicity 6)
Hg1 0.3333 0.6667 0.7500 (multiplicity 2)
N1 0.0000 0.0000 0.0000 (multiplicity 2)



[5]
Below is a relaxed structure of La2Pm5In4, with properties calculated at the PBE level.

Results
Calculated formation energy ... -0.0980 eV per atom
Distance to the lowest polymorph of the same formula ... 193 meV per atom
DOS(E_F) ... 21.01 states/eV/cell
Crystal system ... monoclinic

Cell lengths 23.4488, 3.6328, 8.5792 Å; angles 90.00, 106.54, 90.00 degrees
Space group C2/m (No. 12)
Inequivalent atoms, fractional coordinates:
La1 0.2335 0.0000 0.3077 (multiplicity 4)
Pm1 0.0000 0.0000 0.5000 (multiplicity 2)
Pm2 0.1226 0.5000 0.4590 (multiplicity 4)
Pm3 0.1686 0.5000 0.9285 (multiplicity 4)
In1 0.0186 0.5000 0.8277 (multiplicity 4)
In2 0.0877 0.0000 0.1196 (multiplicity 4)



[6]
Below is a relaxed structure of ZrCS2, with properties calculated at the PBE level.

Results
Distance to the lowest polymorph of the same formula ... 0 meV per atom
DOS(E_F) ... 5.51 states/eV/cell
Crystal system ... trigonal

Cell lengths 3.4053, 3.4053, 20.1708 Å; angles 90.00, 90.00, 120.00 degrees
Space group R-3m (No. 166, hexagonal axes)
Inequivalent atoms, fractional coordinates:
Zr1 0.0000 0.0000 0.0000 (multiplicity 3)
C1 0.0000 0.0000 0.5000 (multiplicity 3)
S1 0.0000 0.0000 0.4203 (multiplicity 6)



[7]
Below is a relaxed structure of CeTh2RuN5, with properties calculated at the PBE level.

Results
Energy ... -8.970 eV per atom
DOS(E_F) ... 20.30 states/eV/cell
Crystal system ... tetragonal

Cell lengths 6.7060, 6.7060, 11.8503 Å; angles 90.00, 90.00, 90.00 degrees
Space group I4/mcm (No. 140)
Inequivalent atoms, fractional coordinates:
Ce1 0.0000 0.0000 0.2500 (multiplicity 4)
Th1 0.1766 0.3234 0.0000 (multiplicity 8)
Ru1 0.0000 0.5000 0.2500 (multiplicity 4)
N1 0.0000 0.0000 0.0000 (multiplicity 4)
N2 0.1477 0.3523 0.3616 (multiplicity 16)



[8]
Below is a relaxed structure of PmNdAs2Pd5, with properties calculated at the PBE level.

Results
Calculated formation energy ... -0.8236 eV per atom
DOS(E_F) ... 2.99 states/eV/cell
Crystal system ... tetragonal

Cell lengths 4.2664, 4.2664, 9.4567 Å; angles 90.00, 90.00, 90.00 degrees
Space group P4/mmm (No. 123)
Inequivalent atoms, fractional coordinates:
Pm1 0.0000 0.0000 0.0000 (multiplicity 1)
Nd1 0.0000 0.0000 0.5000 (multiplicity 1)
As1 0.5000 0.5000 0.1384 (multiplicity 2)
Pd1 0.0000 0.5000 0.2767 (multiplicity 4)
Pd2 0.5000 0.5000 0.5000 (multiplicity 1)



[9]
Below is a relaxed structure of KLiDy2Br8, with properties calculated at the PBE level.

Results
Energy ... -3.862 eV per atom
DOS(E_F) ... 0.00 states/eV/cell
Crystal system ... trigonal

Cell lengths 7.2809, 7.2809, 8.6496 Å; angles 90.00, 90.00, 120.00 degrees
Space group P-3 (No. 147)
Inequivalent atoms, fractional coordinates:
K1 0.0000 0.0000 0.0000 (multiplicity 1)
Li1 0.0000 0.0000 0.5000 (multiplicity 1)
Dy1 0.3333 0.6667 0.4049 (multiplicity 2)
Br1 0.0648 0.3580 0.6538 (multiplicity 6)
Br2 0.3333 0.6667 0.0913 (multiplicity 2)



[10]
Below is a relaxed structure of La6CoN2Cl3, with properties calculated at the PBE level.

Results
Energy ... -6.218 eV per atom
DOS(E_F) ... 21.80 states/eV/cell
Crystal system ... monoclinic

Cell lengths 6.7715, 11.5129, 7.5797 Å; angles 90.00, 107.76, 90.00 degrees
Space group C2/m (No. 12)
Inequivalent atoms, fractional coordinates:
La1 0.2067 0.0000 0.1988 (multiplicity 4)
La2 0.2392 0.3240 0.1986 (multiplicity 8)
Co1 0.0000 0.5000 0.0000 (multiplicity 2)
N1 0.0000 0.1680 0.0000 (multiplicity 4)
Cl1 0.0000 0.0000 0.5000 (multiplicity 2)
Cl2 0.0000 0.3384 0.5000 (multiplicity 4)



[11]
Below is a relaxed structure of K2SnPt4Pb3, with properties calculated at the PBE level.

Results
Calculated formation energy ... -0.2852 eV per atom
DOS(E_F) ... 5.60 states/eV/cell
Crystal system ... tetragonal

Cell lengths 4.8806, 4.8806, 10.9334 Å; angles 90.00, 90.00, 90.00 degrees
Space group P-4m2 (No. 115)
Inequivalent atoms, fractional coordinates:
K1 0.0000 0.5000 0.2398 (multiplicity 2)
Sn1 0.0000 0.0000 0.5000 (multiplicity 1)
Pt1 0.0000 0.0000 0.0000 (multiplicity 1)
Pt2 0.0000 0.5000 0.6202 (multiplicity 2)
Pt3 0.5000 0.5000 0.0000 (multiplicity 1)
Pb1 0.0000 0.5000 0.8758 (multiplicity 2)
Pb2 0.5000 0.5000 0.5000 (multiplicity 1)



[12]
Below is a relaxed structure of SrY2Pb2, with properties calculated at the PBE level.

Results
Calculated formation energy ... -0.3607 eV per atom
Distance to the lowest polymorph of the same formula ... 94 meV per atom
DOS(E_F) ... 8.66 states/eV/cell
Crystal system ... tetragonal

Cell lengths 5.0280, 5.0280, 13.8570 Å; angles 90.00, 90.00, 90.00 degrees
Space group I4/mmm (No. 139)
Inequivalent atoms, fractional coordinates:
Sr1 0.0000 0.0000 0.0000 (multiplicity 2)
Y1 0.0000 0.5000 0.2500 (multiplicity 4)
Pb1 0.0000 0.0000 0.3881 (multiplicity 4)